# 1
## Hf5Pb (meta-GGA SCAN)

Data for Hf5Pb at its PBEsol-relaxed geometry.

Summary:
**Magnetization**: 0.000 μB/f.u.
**ΔE_f**: -0.004 eV/atom
**Calculated volume**: 22.163 A^3/atom
**Calculated total energy**: -389.17 eV per cell
**Density of states at the Fermi level**: 1.10 states/eV/atom

abc: 3.1505 3.1505 13.3973
angles: 90.00 90.00 90.00
Closest atoms and distances in Å follow each position.
Space group P4/mmm (No. 123)
Symmetry-distinct sites (fractional):
Hf (0.0000, 0.0000, 0.0000)  12 Hf 3.12-3.15
Hf (0.0000, 0.0000, 0.3215)  8 Hf 3.08-3.15, 4 Pb 3.27
Hf (0.5000, 0.5000, 0.1632)  12 Hf 3.08-3.15
Pb (0.5000, 0.5000, 0.5000)  4 Pb 3.15, 8 Hf 3.27

# 2
## Hf3PtPb (meta-GGA SCAN)

Data for Hf3PtPb at its PBEsol-relaxed geometry.

Summary:
**Magnetization**: 0.000 μB/f.u.
**ΔE_f**: 1.458 eV/atom
**Calculated volume**: 27.127 A^3/atom
**Calculated total energy**: -326.70 eV per cell
**Density of states at the Fermi level**: 1.29 states/eV/atom

abc: 5.1380 5.1380 5.1380
angles: 90.00 90.00 90.00
Closest atoms and distances in Å follow each position.
Space group Pm-3m (No. 221)
Symmetry-distinct sites (fractional):
Hf (0.0000, 0.0000, 0.5000)  2 Pb 2.57
Pt (0.5000, 0.5000, 0.5000)  12 Hf 3.63
Pb (0.0000, 0.0000, 0.0000)  6 Hf 2.57

# 3
## RbHf3Pb (meta-GGA SCAN)

Data for RbHf3Pb at its PBEsol-relaxed geometry.

Summary:
**Magnetization**: 2.235 μB/f.u.
**ΔE_f**: 1.497 eV/atom
**Calculated volume**: 32.973 A^3/atom
**Calculated total energy**: -277.06 eV per cell
**Density of states at the Fermi level**: 1.45 states/eV/atom

abc: 5.4833 5.4833 5.4833
angles: 90.00 90.00 90.00
Closest atoms and distances in Å follow each position.
Space group Pm-3m (No. 221)
Symmetry-distinct sites (fractional):
Rb (0.0000, 0.0000, 0.0000)  12 Hf 3.88
Hf (0.0000, 0.5000, 0.5000)  2 Pb 2.74
Pb (0.5000, 0.5000, 0.5000)  6 Hf 2.74

# 4
## RbHfTlPb2 (meta-GGA SCAN)

Data for RbHfTlPb2 at its PBEsol-relaxed geometry.

Summary:
**Magnetization**: 1.734 μB/f.u.
**ΔE_f**: 1.136 eV/atom
**Calculated volume**: 38.659 A^3/atom
**Calculated total energy**: -301.65 eV per cell
**Density of states at the Fermi level**: 1.12 states/eV/atom

abc: 5.7123 5.7123 5.9237
angles: 90.00 90.00 90.00
Closest atoms and distances in Å follow each position.
Space group P4/mmm (No. 123)
Symmetry-distinct sites (fractional):
Rb (0.0000, 0.0000, 0.0000)  2 Tl 2.96
Hf (0.5000, 0.5000, 0.0000)  4 Rb 4.04, 8 Pb 4.11
Tl (0.0000, 0.0000, 0.5000)  4 Pb 2.86, 2 Rb 2.96
Pb (0.0000, 0.5000, 0.5000)  2 Tl 2.86

# 5
## HfRe2RhPb (meta-GGA SCAN)

Data for HfRe2RhPb at its PBEsol-relaxed geometry.

Summary:
**Magnetization**: 3.579 μB/f.u.
**ΔE_f**: 1.895 eV/atom
**Calculated volume**: 22.184 A^3/atom
**Calculated total energy**: -304.95 eV per cell
**Density of states at the Fermi level**: 0.83 states/eV/atom

abc: 4.8580 4.8580 4.7001
angles: 90.00 90.00 90.00
Closest atoms and distances in Å follow each position.
Space group P4/mmm (No. 123)
Symmetry-distinct sites (fractional):
Hf (0.0000, 0.0000, 0.0000)  2 Rh 2.35, 4 Re 2.43
Re (0.0000, 0.5000, 0.0000)  2 Hf 2.43
Rh (0.0000, 0.0000, 0.5000)  2 Hf 2.35
Pb (0.5000, 0.5000, 0.5000)  8 Re 3.38, 4 Rh 3.44

# 6
## HfZnRePb2 (meta-GGA SCAN)

Data for HfZnRePb2 at its PBEsol-relaxed geometry.

Summary:
**Magnetization**: 0.000 μB/f.u.
**ΔE_f**: 0.712 eV/atom
**Calculated volume**: 27.593 A^3/atom
**Calculated total energy**: -295.29 eV per cell
**Density of states at the Fermi level**: 0.54 states/eV/atom

abc: 5.2427 5.2427 5.0194
angles: 90.00 90.00 90.00
Closest atoms and distances in Å follow each position.
Space group P4/mmm (No. 123)
Symmetry-distinct sites (fractional):
Hf (0.0000, 0.0000, 0.0000)  2 Re 2.51
Zn (0.5000, 0.5000, 0.0000)  8 Pb 3.63, 4 Hf 3.71
Re (0.0000, 0.0000, 0.5000)  2 Hf 2.51, 4 Pb 2.62
Pb (0.0000, 0.5000, 0.5000)  2 Re 2.62

# 7
## HfSiRhPb2 (meta-GGA SCAN)

Data for HfSiRhPb2 at its PBEsol-relaxed geometry.

Summary:
**Magnetization**: 1.548 μB/f.u.
**Calculated volume**: 28.654 A^3/atom
**Calculated total energy**: -252.44 eV per cell
**E_form (uncorrected)**: 1117 meV per atom
**Density of states at the Fermi level**: 0.78 states/eV/atom

abc: 5.4046 5.4046 4.9048
angles: 90.00 90.00 90.00
Closest atoms and distances in Å follow each position.
Space group P4/mmm (No. 123)
Symmetry-distinct sites (fractional):
Hf (0.0000, 0.0000, 0.0000)  2 Si 2.45, 4 Pb 2.70
Si (0.0000, 0.0000, 0.5000)  2 Hf 2.45
Rh (0.5000, 0.5000, 0.5000)  8 Pb 3.65, 4 Si 3.82
Pb (0.0000, 0.5000, 0.0000)  2 Hf 2.70

# 8
## HfRu3Pb (meta-GGA SCAN)

Data for HfRu3Pb at its PBEsol-relaxed geometry.

Summary:
**Magnetization**: 0.001 μB/f.u.
**ΔE_f**: 1.848 eV/atom
**Calculated volume**: 21.635 A^3/atom
**Calculated total energy**: -233.69 eV per cell
**Density of states at the Fermi level**: 0.78 states/eV/atom

abc: 4.7648 4.7648 4.7648
angles: 90.00 90.00 90.00
Closest atoms and distances in Å follow each position.
Space group Pm-3m (No. 221)
Symmetry-distinct sites (fractional):
Hf (0.0000, 0.0000, 0.0000)  12 Ru 3.37
Ru (0.0000, 0.5000, 0.5000)  2 Pb 2.38
Pb (0.5000, 0.5000, 0.5000)  6 Ru 2.38

# 9
## HfRuPb2 (meta-GGA SCAN)

Data for HfRuPb2 at its PBEsol-relaxed geometry.

Summary:
**Magnetization**: 0.001 μB/f.u.
**ΔE_f**: 0.357 eV/atom
**Calculated volume**: 20.034 A^3/atom
**Calculated total energy**: -990.53 eV per cell
**Density of states at the Fermi level**: 0.79 states/eV/atom

abc: 6.8438 6.8438 6.8438
angles: 90.00 90.00 90.00
Closest atoms and distances in Å follow each position.
Space group Fm-3m (No. 225)
Symmetry-distinct sites (fractional):
Hf (0.0000, 0.0000, 0.0000)  8 Pb 2.96
Ru (0.0000, 0.0000, 0.5000)  8 Pb 2.96
Pb (0.2500, 0.2500, 0.2500)  4 Hf 2.96, 4 Ru 2.96

# 10
## HfPbS2 (meta-GGA SCAN)

Data for HfPbS2 at its PBEsol-relaxed geometry.

Summary:
**Magnetization**: 0.000 μB/f.u.
**Calculated volume**: 23.462 A^3/atom
**Calculated total energy**: -488.44 eV per cell
**E_form (uncorrected)**: -1276 meV per atom
**Density of states at the Fermi level**: 0.42 states/eV/atom

abc: 3.5006 3.5006 26.5286
angles: 90.00 90.00 120.00
Closest atoms and distances in Å follow each position.
Space group R-3m (No. 166, hexagonal axes)
Symmetry-distinct sites (fractional):
Hf (0.0000, 0.0000, 0.0000)  6 S 2.53
Pb (0.0000, 0.0000, 0.5000)  2 S 2.91
S (0.0000, 0.0000, 0.3905)  3 Hf 2.53

# 11
## HfPbS3 (meta-GGA SCAN)

Data for HfPbS3 at its PBEsol-relaxed geometry.

Summary:
**Magnetization**: 0.000 μB/f.u.
**Calculated volume**: 22.712 A^3/atom
**Calculated total energy**: -695.20 eV per cell
**E_form (uncorrected)**: -1292 meV per atom
**Density of states at the Fermi level**: 0.00 states/eV/atom

abc: 8.8928 3.7085 13.7735
angles: 90.00 90.00 90.00
Closest atoms and distances in Å follow each position.
Space group Pnma (No. 62)
Symmetry-distinct sites (fractional):
Hf (0.1658, 0.2500, 0.0503)  6 S 2.48-2.56
Pb (0.0123, 0.2500, 0.6739)  4 S 2.74-3.03
S (0.0129, 0.2500, 0.8939)  3 Hf 2.55-2.56
S (0.1670, 0.2500, 0.4891)  2 Hf 2.52
S (0.2291, 0.7500, 0.7167)  1 Hf 2.48, 2 Pb 2.74

# 12
## HfSb2Pb (meta-GGA SCAN)

Data for HfSb2Pb at its PBEsol-relaxed geometry.

Summary:
**Magnetization**: 0.000 μB/f.u.
**Calculated volume**: 37.531 A^3/atom
**Calculated total energy**: -850.32 eV per cell
**E_form (uncorrected)**: 99 meV per atom
**Density of states at the Fermi level**: 0.17 states/eV/atom

abc: 6.7143 6.7143 13.3203
angles: 90.00 90.00 90.00
Closest atoms and distances in Å follow each position.
Space group I-42d (No. 122)
Symmetry-distinct sites (fractional):
Hf (0.0000, 0.0000, 0.0000)  4 Sb 2.76
Sb (0.2123, 0.2500, 0.1250)  2 Hf 2.76, 2 Pb 3.05
Pb (0.0000, 0.0000, 0.5000)  4 Sb 3.05